A relaxed RhAuS2 crystal, computed with GGA-PBE.

Lattice parameters (Å, degrees): 7.289 3.552 13.000 90.00 90.00 90.00
Fractional coordinates of all 16 atoms:
Rh 0.559 0.250 0.392
Rh 0.941 0.750 0.892
Rh 0.441 0.750 0.608
Rh 0.059 0.250 0.108
S 0.640 0.250 0.564
S 0.860 0.750 0.064
S 0.360 0.750 0.436
S 0.140 0.250 0.936
S 0.252 0.250 0.658
S 0.248 0.750 0.158
S 0.748 0.750 0.342
S 0.752 0.250 0.842
Au 0.958 0.250 0.589
Au 0.542 0.750 0.089
Au 0.042 0.750 0.411
Au 0.458 0.250 0.911

Calculated values
space-group type = Pnma
crystal system = orthorhombic
raw formation energy = -0.75 eV per formula unit
density = 7.18 g cm⁻³

A relaxed ReTcP crystal, computed with GGA-PBE.

Lattice parameters (Å, degrees): 6.514 6.226 2.824 82.97 71.55 25.48
Fractional coordinates of all 3 atoms:
Re 0.654 0.654 0.346
Tc 0.346 0.346 0.654
P 0.999 0.999 0.001

Calculated values
space-group type = Fmm2
crystal system = orthorhombic
formation enthalpy at 0 K = 0.92 eV per formula unit
density = 12.22 g cm⁻³

A relaxed RbMgMn3 crystal, computed with GGA-PBE.

Lattice parameters (Å, degrees): 5.277 5.277 5.277 90.00 90.00 90.00
Site moments in Bohr magnetons follow the coordinates.
Fractional coordinates of all 5 atoms:
Mg 0.000 0.000 0.000  -0.04
Mn 0.000 0.500 0.000  4.04
Mn 0.000 0.000 0.500  4.12
Mn 0.500 0.000 0.000  3.98
Rb 0.500 0.500 0.500  0.01

Calculated values
space-group type = Pm-3m
crystal system = cubic
formation enthalpy at 0 K = 6.37 eV per formula unit
density = 3.10 g cm⁻³

A relaxed KRhPb2 crystal, computed with GGA-PBE.

Lattice parameters (Å, degrees): 5.740 5.740 5.740 131.68 131.68 70.74
Fractional coordinates of all 4 atoms:
K 0.750 0.250 0.500
Pb 0.000 0.000 0.000
Pb 0.250 0.750 0.500
Rh 0.500 0.500 0.000

Calculated values
space-group type = I-4m2
crystal system = tetragonal
formation enthalpy at 0 K = 1.43 eV per formula unit
density = 8.94 g cm⁻³

Looking at energy for the records above, in order, we have -4.91, -9.10, -4.74, -3.61 eV/atom.